Entry 1:
Here is an optimized crystal structure of Cd3Ga2Hg3 from the Alexandria database. Energies are from PBE-GGA.

Calculated values
Its total energy is -1.168 eV per atom. For the density of states at the Fermi level, the calculation gives 0.256 states/eV per atom. For the total magnetic moment, the calculation gives 0.00 μB per cell.

Unit cell a=4.013 b=4.672 c=10.037 alpha=85.10 beta=85.43 gamma=88.46
Positions (direct):
Cd (0.000, 0.000, 0.000)
Cd (0.197, 0.689, 0.734)
Cd (0.803, 0.311, 0.266)
Ga (0.253, 0.253, 0.500)
Ga (0.747, 0.747, 0.500)
Hg (0.300, 0.813, 0.268)
Hg (0.500, 0.500, 0.000)
Hg (0.700, 0.187, 0.732)

---

Entry 2:
Here is an optimized crystal structure of Cd2Ga2Hg from the Alexandria database. Energies are from PBE-GGA.

Calculated values
For the offset from the most stable computed form, the calculation gives 2.2 kJ/mol of atoms. Its total energy is -1.558 eV per atom. For the density of states at the Fermi level, the calculation gives 0.499 states/eV per atom. For the total magnetic moment, the calculation gives 0.00 μB per cell.

Unit cell a=3.999 b=3.999 c=14.346 alpha=90.00 beta=90.00 gamma=90.00
Positions (direct):
Cd (0.000, 0.000, 0.101)
Cd (0.000, 0.000, 0.899)
Cd (0.500, 0.500, 0.399)
Cd (0.500, 0.500, 0.601)
Ga (0.000, 0.500, 0.250)
Ga (0.000, 0.500, 0.750)
Ga (0.500, 0.000, 0.250)
Ga (0.500, 0.000, 0.750)
Hg (0.000, 0.000, 0.500)
Hg (0.500, 0.500, 0.000)

---

Entry 3:
Here is an optimized crystal structure of Cd2GaHg2 from the Alexandria database. Energies are from PBE-GGA.

Calculated values
For the offset from the most stable computed form, the calculation gives 0.4 kJ/mol of atoms. Its total energy is -0.987 eV per atom. For the density of states at the Fermi level, the calculation gives 0.408 states/eV per atom. For the total magnetic moment, the calculation gives 0.00 μB per cell.

Unit cell a=7.670 b=7.670 c=4.222 alpha=90.00 beta=90.00 gamma=90.00
Positions (direct):
Cd (0.158, 0.342, 0.000)
Cd (0.342, 0.842, 0.000)
Cd (0.658, 0.158, 0.000)
Cd (0.842, 0.658, 0.000)
Ga (0.000, 0.000, 0.500)
Ga (0.500, 0.500, 0.500)
Hg (0.147, 0.647, 0.500)
Hg (0.353, 0.147, 0.500)
Hg (0.647, 0.853, 0.500)
Hg (0.853, 0.353, 0.500)